A relaxed Li4GaCoO6 crystal. Source: OQMD via LeMat-Bulk, functional PBE with a Hubbard U.

## Properties
Uncorrected energy   -5.377 eV/atom
M_tot   2.00 μB/f.u.

Lattice parameters (Å, degrees): 4.960 4.960 4.993 99.57 99.57 120.16
Each line ends with the local moment (μB).
Fractional coordinates of all 12 atoms:
O (0.215, 0.229, 0.234)  0.04
O (0.927, 0.562, 0.232)  -0.03
O (0.059, 0.407, 0.777)  0.09
O (0.438, 0.073, 0.768)  -0.03
O (0.593, 0.941, 0.223)  0.09
O (0.771, 0.785, 0.766)  0.04
Ga (0.165, 0.835, 0.000)  0.01
Li (0.665, 0.335, 0.500)  0.01
Li (0.342, 0.658, 0.500)  0.00
Li (0.502, 0.498, 0.000)  0.01
Li (0.990, 0.010, 0.500)  0.01
Co (0.834, 0.166, 0.000)  1.70